Record 1
VASP calculation (PBE) on a relaxed structure of Ac3PmIr.

Unit cell a=5.895 b=5.895 c=5.895 alpha=90.00 beta=90.00 gamma=90.00
Atoms (fractional coordinates):
Ac 0.000 0.000 0.500
Ac 0.500 0.000 0.000
Ac 0.000 0.500 0.000
Pm 0.500 0.500 0.500
Ir 0.000 0.000 0.000

## Properties
E_tot = -26.90 eV per cell
Energy above the lowest structure with this stoichiometry = 127 meV per atom
DOS(E_F) = 1.76 states/eV per atom
Space-group type = No. 221
Formation energy from the elements = -193 meV per atom

---

Record 2
VASP calculation (PBE) on a relaxed structure of Ac5PmIr4.

Unit cell a=7.324 b=10.168 c=9.114 alpha=90.00 beta=90.00 gamma=90.00
Atoms (fractional coordinates):
Ac 0.745 0.195 0.747
Ac 0.255 0.305 0.753
Ac 0.255 0.695 0.753
Ac 0.255 0.305 0.247
Ac 0.201 0.000 0.500
Ac 0.255 0.695 0.247
Ac 0.745 0.195 0.253
Ac 0.799 0.500 0.000
Ac 0.745 0.805 0.253
Ac 0.745 0.805 0.747
Ir 0.567 0.500 0.257
Ir 0.433 0.000 0.757
Ir 0.999 0.754 0.000
Ir 0.001 0.254 0.500
Ir 0.999 0.246 0.000
Ir 0.001 0.746 0.500
Ir 0.433 0.000 0.243
Ir 0.567 0.500 0.743
Pm 0.806 0.500 0.500
Pm 0.194 0.000 0.000

## Properties
E_tot = -130.90 eV per cell
Energy above the lowest structure with this stoichiometry = 94 meV per atom
DOS(E_F) = 0.44 states/eV per atom
Space-group type = No. 59
Formation energy from the elements = -471 meV per atom

---

Record 3
VASP calculation (PBE) on a relaxed structure of AcPm2Ir.

Unit cell a=4.153 b=4.153 c=9.711 alpha=77.65 beta=77.65 gamma=60.00
Atoms (fractional coordinates):
Pm 0.053 0.053 0.842
Pm 0.280 0.280 0.160
Ir 0.666 0.666 0.001
Ac 0.501 0.501 0.496

## Properties
E_tot = -23.86 eV per cell
Energy above the lowest structure with this stoichiometry = 105 meV per atom
DOS(E_F) = 0.92 states/eV per atom
Space-group type = No. 160
Formation energy from the elements = -346 meV per atom

---

Record 4
VASP calculation (PBE) on a relaxed structure of AcPm2Ir.

Unit cell a=5.338 b=5.338 c=5.338 alpha=60.00 beta=60.00 gamma=60.00
Atoms (fractional coordinates):
Pm 0.750 0.750 0.750
Pm 0.250 0.250 0.250
Ir 0.500 0.500 0.500
Ac 0.000 0.000 0.000

## Properties
E_tot = -22.13 eV per cell
Energy above the lowest structure with this stoichiometry = 538 meV per atom
DOS(E_F) = 1.38 states/eV per atom
Space-group type = No. 225
Formation energy from the elements = 86 meV per atom

---

Among the records above, which one has the highest E_tot? number 4

---

E_tot of number 3 (AcPm2Ir)? -23.86 eV per cell